Entry 1:
Entry from the Alexandria database: MnCo2NF after structural relaxation (PBEsol).

Cell and atoms, written as POSCAR:
```
MnCo2NF
1.0
3.7279 0.0000 0.0000
0.0000 3.7279 0.0000
0.0000 0.0000 4.3157
Mn Co N F
1 2 1 1
direct
0.0000 0.0000 0.0000 Mn
0.0000 0.5000 0.5000 Co
0.5000 0.0000 0.5000 Co
0.5000 0.5000 0.0000 N
0.0000 0.0000 0.5000 F
```

Output
* D(E_F): 3.68 states/eV/cell
* energy relative to the elements, uncorrected: 531 kJ/mol of formula units
* raw total energy: -30.2 eV per formula unit

=====

Entry 2:
Entry from the Alexandria database: NbCoN2F after structural relaxation (PBEsol).

Cell and atoms, written as POSCAR:
```
NbCoN2F
1.0
4.0491 0.0000 0.0000
0.0000 4.0491 0.0000
0.0000 0.0000 3.9551
Nb Co N F
1 1 2 1
direct
0.0000 0.0000 0.0000 Nb
0.5000 0.5000 0.5000 Co
0.0000 0.5000 0.0000 N
0.5000 0.0000 0.0000 N
0.0000 0.0000 0.5000 F
```

Output
* D(E_F): 3.17 states/eV/cell
* energy relative to the elements, uncorrected: 13 kJ/mol of formula units
* raw total energy: -37.4 eV per formula unit

=====

Entry 3:
Entry from the Alexandria database: CoOsNF2 after structural relaxation (PBEsol).

Cell and atoms, written as POSCAR:
```
CoOsNF2
1.0
4.1739 0.0000 0.0000
0.0000 4.1739 0.0000
0.0000 0.0000 3.7169
Co Os N F
1 1 1 2
direct
0.0000 0.0000 0.0000 Co
0.5000 0.5000 0.5000 Os
0.5000 0.5000 0.0000 N
0.0000 0.5000 0.5000 F
0.5000 0.0000 0.5000 F
```

Output
* D(E_F): 6.25 states/eV/cell
* energy relative to the elements, uncorrected: 148 kJ/mol of formula units
* raw total energy: -30.8 eV per formula unit

=====

Entry 4:
Entry from the Alexandria database: CoPN2F after structural relaxation (PBEsol).

Cell and atoms, written as POSCAR:
```
CoPN2F
1.0
3.4697 0.0000 0.0000
0.0000 3.4697 0.0000
0.0000 0.0000 3.6571
Co P N F
1 1 2 1
direct
0.0000 0.0000 0.0000 Co
0.5000 0.5000 0.5000 P
0.0000 0.5000 0.5000 N
0.5000 0.0000 0.5000 N
0.5000 0.5000 0.0000 F
```

Output
* D(E_F): 5.33 states/eV/cell
* energy relative to the elements, uncorrected: 208 kJ/mol of formula units
* raw total energy: -30.4 eV per formula unit